(1)
# KBe3 | Alexandria via LeMat-Bulk | PBE | optimized geometry
# - formation enthalpy at 0 K (eV/atom) = 0.6295
# - ΔE to the lowest computed polymorph (eV/atom) = 0.132
data_KBe3
_chemical_formula_sum 'K2 Be6'
_symmetry_space_group_name_H-M 'C 1 2/m 1'
_symmetry_Int_Tables_number 12
_cell_length_a 8.787
_cell_length_b 2.606
_cell_length_c 6.200
_cell_angle_alpha 90.00
_cell_angle_beta 103.62
_cell_angle_gamma 90.00
loop_
_symmetry_equiv_pos_as_xyz
'x,y,z'
'-x,-y,-z'
'-x,y,-z'
'x,-y,z'
'x+1/2,y+1/2,z'
'-x+1/2,-y+1/2,-z'
'-x+1/2,y+1/2,-z'
'x+1/2,-y+1/2,z'
loop_
_atom_site_label
_atom_site_type_symbol
_atom_site_fract_x
_atom_site_fract_y
_atom_site_fract_z
_atom_site_occupancy
K1 K 0.000 0.000 0.000 1
Be1 Be 0.000 0.500 0.500 1
Be2 Be 0.194 0.000 0.590 1

(2)
# MoRuAu2 | Alexandria via LeMat-Bulk | PBE | optimized geometry
# - formation enthalpy at 0 K (eV/atom) = 0.1231
# - ΔE to the lowest computed polymorph (eV/atom) = 0.000
data_MoRuAu2
_chemical_formula_sum 'Mo1 Ru1 Au2'
_symmetry_space_group_name_H-M 'P 4 m m'
_symmetry_Int_Tables_number 99
_cell_length_a 2.843
_cell_length_b 2.843
_cell_length_c 8.186
_cell_angle_alpha 90.00
_cell_angle_beta 90.00
_cell_angle_gamma 90.00
loop_
_symmetry_equiv_pos_as_xyz
'x,y,z'
'-y,x,z'
'-x,-y,z'
'y,-x,z'
'-x,y,z'
'y,x,z'
'x,-y,z'
'-y,-x,z'
loop_
_atom_site_label
_atom_site_type_symbol
_atom_site_fract_x
_atom_site_fract_y
_atom_site_fract_z
_atom_site_occupancy
Mo1 Mo 0.000 0.000 0.000 1
Ru1 Ru 0.500 0.500 0.205 1
Au1 Au 0.000 0.000 0.465 1
Au2 Au 0.500 0.500 0.740 1

(3)
# Zr3ScI | Alexandria via LeMat-Bulk | PBE | optimized geometry
# - ΔE to the lowest computed polymorph (eV/atom) = 0.000
# - formation energy from raw total energies (kcal/mol of atoms) = 16.304
data_Zr3ScI
_chemical_formula_sum 'Zr3 Sc1 I1'
_symmetry_space_group_name_H-M 'P m -3 m'
_symmetry_Int_Tables_number 221
_symmetry_space_group_name_Hall '-P 4 2 3'
_cell_length_a 5.250
_cell_length_b 5.250
_cell_length_c 5.250
_cell_angle_alpha 90.00
_cell_angle_beta 90.00
_cell_angle_gamma 90.00
loop_
_atom_site_label
_atom_site_type_symbol
_atom_site_fract_x
_atom_site_fract_y
_atom_site_fract_z
_atom_site_occupancy
Zr1 Zr 0.000 0.000 0.500 1
Sc1 Sc 0.500 0.500 0.500 1
I1 I 0.000 0.000 0.000 1

(4)
# Sr6H2Au3 | Alexandria via LeMat-Bulk | PBE | optimized geometry
# - raw total energy (eV per cell) = -65.24
data_Sr6H2Au3
_chemical_formula_sum 'Sr12 H4 Au6'
_symmetry_space_group_name_H-M 'I 4/m m m'
_symmetry_Int_Tables_number 139
_symmetry_space_group_name_Hall '-I 4 2'
_cell_length_a 5.079
_cell_length_b 5.079
_cell_length_c 24.851
_cell_angle_alpha 90.00
_cell_angle_beta 90.00
_cell_angle_gamma 90.00
loop_
_atom_site_label
_atom_site_type_symbol
_atom_site_fract_x
_atom_site_fract_y
_atom_site_fract_z
_atom_site_occupancy
Sr1 Sr 0.000 0.000 0.205 1
Sr2 Sr 0.000 0.500 0.082 1
H1 H 0.000 0.000 0.102 1
Au1 Au 0.000 0.000 0.333 1
Au2 Au 0.000 0.000 0.500 1

(5)
# Tm2FeNi | Alexandria via LeMat-Bulk | PBE | optimized geometry
# - formation enthalpy at 0 K (eV/atom) = -0.1887
# - ΔE to the lowest computed polymorph (eV/atom) = 0.000
data_Tm2FeNi
_chemical_formula_sum 'Tm2 Fe1 Ni1'
_symmetry_space_group_name_H-M 'P 4/m m m'
_symmetry_Int_Tables_number 123
_symmetry_space_group_name_Hall '-P 4 2'
_cell_length_a 3.312
_cell_length_b 3.312
_cell_length_c 6.527
_cell_angle_alpha 90.00
_cell_angle_beta 90.00
_cell_angle_gamma 90.00
loop_
_atom_site_label
_atom_site_type_symbol
_atom_site_fract_x
_atom_site_fract_y
_atom_site_fract_z
_atom_site_occupancy
Tm1 Tm 0.000 0.000 0.244 1
Fe1 Fe 0.500 0.500 0.000 1
Ni1 Ni 0.500 0.500 0.500 1

(6)
# K2TiOsO6 | Alexandria via LeMat-Bulk | PBE | optimized geometry
# - formation energy from raw total energies (kcal/mol of atoms) = -43.514
data_K2TiOsO6
_chemical_formula_sum 'K4 Ti2 Os2 O12'
_symmetry_space_group_name_H-M 'I 4/m m m'
_symmetry_Int_Tables_number 139
_symmetry_space_group_name_Hall '-I 4 2'
_cell_length_a 5.553
_cell_length_b 5.553
_cell_length_c 7.868
_cell_angle_alpha 90.00
_cell_angle_beta 90.00
_cell_angle_gamma 90.00
loop_
_atom_site_label
_atom_site_type_symbol
_atom_site_fract_x
_atom_site_fract_y
_atom_site_fract_z
_atom_site_occupancy
K1 K 0.000 0.500 0.250 1
Ti1 Ti 0.000 0.000 0.000 1
Os1 Os 0.000 0.000 0.500 1
O1 O 0.000 0.000 0.254 1
O2 O 0.246 0.246 0.500 1

(7)
# LaZnHg2 | Alexandria via LeMat-Bulk | PBE | optimized geometry
# - formation enthalpy at 0 K (eV/atom) = -0.2409
data_LaZnHg2
_chemical_formula_sum 'La1 Zn1 Hg2'
_symmetry_space_group_name_H-M 'P 4/m m m'
_symmetry_Int_Tables_number 123
_symmetry_space_group_name_Hall '-P 4 2'
_cell_length_a 3.640
_cell_length_b 3.640
_cell_length_c 7.380
_cell_angle_alpha 90.00
_cell_angle_beta 90.00
_cell_angle_gamma 90.00
loop_
_atom_site_label
_atom_site_type_symbol
_atom_site_fract_x
_atom_site_fract_y
_atom_site_fract_z
_atom_site_occupancy
La1 La 0.000 0.000 0.000 1
Zn1 Zn 0.000 0.000 0.500 1
Hg1 Hg 0.500 0.500 0.288 1

(8)
# Sc2GaP | Alexandria via LeMat-Bulk | PBE | optimized geometry
# - formation enthalpy at 0 K (eV/atom) = -1.0435
# - ΔE to the lowest computed polymorph (eV/atom) = 0.000
data_Sc2GaP
_chemical_formula_sum 'Sc8 Ga4 P4'
_symmetry_space_group_name_H-M 'C m c m'
_symmetry_Int_Tables_number 63
_symmetry_space_group_name_Hall '-C 2c 2'
_cell_length_a 3.746
_cell_length_b 21.273
_cell_length_c 3.910
_cell_angle_alpha 90.00
_cell_angle_beta 90.00
_cell_angle_gamma 90.00
loop_
_atom_site_label
_atom_site_type_symbol
_atom_site_fract_x
_atom_site_fract_y
_atom_site_fract_z
_atom_site_occupancy
Sc1 Sc 0.000 0.071 0.250 1
Sc2 Sc 0.000 0.312 0.250 1
Ga1 Ga 0.000 0.461 0.250 1
P1 P 0.000 0.189 0.250 1

(9)
# NbAgTe2 | Alexandria via LeMat-Bulk | PBE | optimized geometry
# - formation energy from raw total energies (kcal/mol of atoms) = -4.022
data_NbAgTe2
_chemical_formula_sum 'Nb3 Ag3 Te6'
_symmetry_space_group_name_H-M 'R -3 m'
_symmetry_Int_Tables_number 166
_symmetry_space_group_name_Hall '-R 3 2"'
_cell_length_a 3.6659
_cell_length_b 3.6659
_cell_length_c 27.3298
_cell_angle_alpha 90.00
_cell_angle_beta 90.00
_cell_angle_gamma 120.00
loop_
_atom_site_label
_atom_site_type_symbol
_atom_site_fract_x
_atom_site_fract_y
_atom_site_fract_z
_atom_site_occupancy
Nb1 Nb 0.0000 0.0000 0.0000 1
Ag1 Ag 0.0000 0.0000 0.5000 1
Te1 Te 0.0000 0.0000 0.4006 1

(10)
# Nd2IF | Alexandria via LeMat-Bulk | PBE | optimized geometry
# - formation energy from raw total energies (kcal/mol of atoms) = -34.365
data_Nd2IF
_chemical_formula_sum 'Nd6 I3 F3'
_symmetry_space_group_name_H-M 'R -3 m'
_symmetry_Int_Tables_number 166
_symmetry_space_group_name_Hall '-R 3 2"'
_cell_length_a 3.8498
_cell_length_b 3.8498
_cell_length_c 24.0071
_cell_angle_alpha 90.00
_cell_angle_beta 90.00
_cell_angle_gamma 120.00
loop_
_atom_site_label
_atom_site_type_symbol
_atom_site_fract_x
_atom_site_fract_y
_atom_site_fract_z
_atom_site_occupancy
Nd1 Nd 0.0000 0.0000 0.2279 1
I1 I 0.0000 0.0000 0.0000 1
F1 F 0.0000 0.0000 0.5000 1

(11)
# CsLiReBr6 | Alexandria via LeMat-Bulk | PBE | optimized geometry
# - formation energy from raw total energies (kcal/mol of atoms) = -20.788
data_CsLiReBr6
_chemical_formula_sum 'Cs2 Li2 Re2 Br12'
_symmetry_space_group_name_H-M 'P -3 1 c'
_symmetry_Int_Tables_number 163
_symmetry_space_group_name_Hall '-P 3 2c'
_cell_length_a 6.9307
_cell_length_b 6.9307
_cell_length_c 16.3374
_cell_angle_alpha 90.00
_cell_angle_beta 90.00
_cell_angle_gamma 120.00
loop_
_atom_site_label
_atom_site_type_symbol
_atom_site_fract_x
_atom_site_fract_y
_atom_site_fract_z
_atom_site_occupancy
Cs1 Cs 0.0000 0.0000 0.0000 1
Li1 Li 0.3333 0.6667 0.2500 1
Re1 Re 0.3333 0.6667 0.7500 1
Br1 Br 0.0236 0.3799 0.6602 1

(12)
# Ba3Se | Alexandria via LeMat-Bulk | PBE | optimized geometry
# - ΔE to the lowest computed polymorph (eV/atom) = 0.115
# - formation energy from raw total energies (kcal/mol of atoms) = -18.642
data_Ba3Se
_chemical_formula_sum 'Ba6 Se2'
_symmetry_space_group_name_H-M 'P m m n'
_symmetry_Int_Tables_number 59
_cell_length_a 4.339
_cell_length_b 8.534
_cell_length_c 11.720
_cell_angle_alpha 90.00
_cell_angle_beta 90.00
_cell_angle_gamma 90.00
loop_
_symmetry_equiv_pos_as_xyz
'x,y,z'
'-x,-y,-z'
'-x+1/2,-y+1/2,z'
'x+1/2,y+1/2,-z'
'x+1/2,-y,-z'
'-x+1/2,y,z'
'-x,y+1/2,-z'
'x,-y+1/2,z'
loop_
_atom_site_label
_atom_site_type_symbol
_atom_site_fract_x
_atom_site_fract_y
_atom_site_fract_z
_atom_site_occupancy
Ba1 Ba 0.250 0.006 0.176 1
Ba2 Ba 0.250 0.250 0.507 1
Se1 Se 0.250 0.750 0.711 1

(13)
# ZnNi8Pt6 | Alexandria via LeMat-Bulk | PBE | optimized geometry
# - formation enthalpy at 0 K (eV/atom) = -0.1223
data_ZnNi8Pt6
_chemical_formula_sum 'Zn1 Ni8 Pt6'
_symmetry_space_group_name_H-M 'P -1'
_symmetry_Int_Tables_number 2
_cell_length_a 4.620
_cell_length_b 6.977
_cell_length_c 6.994
_cell_angle_alpha 94.94
_cell_angle_beta 108.62
_cell_angle_gamma 109.04
loop_
_symmetry_equiv_pos_as_xyz
'x,y,z'
'-x,-y,-z'
loop_
_atom_site_label
_atom_site_type_symbol
_atom_site_fract_x
_atom_site_fract_y
_atom_site_fract_z
_atom_site_occupancy
Zn1 Zn 0.000 0.000 0.000 1
Ni1 Ni 0.061 0.468 0.332 1
Ni2 Ni 0.271 0.863 0.334 1
Ni3 Ni 0.331 0.332 0.667 1
Ni4 Ni 0.397 0.801 0.001 1
Pt1 Pt 0.143 0.939 0.672 1
Pt2 Pt 0.194 0.396 0.993 1
Pt3 Pt 0.477 0.277 0.343 1

(14)
# NaDy3Ir8 | Alexandria via LeMat-Bulk | PBE | optimized geometry
# - formation enthalpy at 0 K (eV/atom) = -0.5975
data_NaDy3Ir8
_chemical_formula_sum 'Na3 Dy9 Ir24'
_symmetry_space_group_name_H-M 'R 3 m'
_symmetry_Int_Tables_number 160
_symmetry_space_group_name_Hall 'R 3 -2"'
_cell_length_a 5.3380
_cell_length_b 5.3380
_cell_length_c 26.1872
_cell_angle_alpha 90.00
_cell_angle_beta 90.00
_cell_angle_gamma 120.00
loop_
_atom_site_label
_atom_site_type_symbol
_atom_site_fract_x
_atom_site_fract_y
_atom_site_fract_z
_atom_site_occupancy
Na1 Na 0.0000 0.0000 0.0000 1
Dy1 Dy 0.0000 0.0000 0.3696 1
Dy2 Dy 0.0000 0.0000 0.4980 1
Dy3 Dy 0.0000 0.0000 0.8787 1
Ir1 Ir 0.0000 0.0000 0.1862 1
Ir2 Ir 0.0000 0.0000 0.6861 1
Ir3 Ir 0.0005 0.5002 0.4367 1
Ir4 Ir 0.1675 0.3349 0.2690 1

(15)
# CuMoAu2 | Alexandria via LeMat-Bulk | PBE | optimized geometry
# - formation enthalpy at 0 K (eV/atom) = 0.3382
# - ΔE to the lowest computed polymorph (eV/atom) = 0.210
data_CuMoAu2
_chemical_formula_sum 'Cu2 Mo2 Au4'
_symmetry_space_group_name_H-M 'I 4/m m m'
_symmetry_Int_Tables_number 139
_symmetry_space_group_name_Hall '-I 4 2'
_cell_length_a 4.190
_cell_length_b 4.190
_cell_length_c 7.373
_cell_angle_alpha 90.00
_cell_angle_beta 90.00
_cell_angle_gamma 90.00
loop_
_atom_site_label
_atom_site_type_symbol
_atom_site_fract_x
_atom_site_fract_y
_atom_site_fract_z
_atom_site_occupancy
Cu1 Cu 0.000 0.000 0.000 1
Mo1 Mo 0.000 0.000 0.500 1
Au1 Au 0.000 0.500 0.250 1

(16)
# CaCrW2 | Alexandria via LeMat-Bulk | PBE | optimized geometry
# - formation enthalpy at 0 K (eV/atom) = 0.9491
# - ΔE to the lowest computed polymorph (eV/atom) = 0.321
data_CaCrW2
_chemical_formula_sum 'Ca2 Cr2 W4'
_symmetry_space_group_name_H-M 'C m m m'
_symmetry_Int_Tables_number 65
_symmetry_space_group_name_Hall '-C 2 2'
_cell_length_a 5.388
_cell_length_b 9.689
_cell_length_c 2.667
_cell_angle_alpha 90.00
_cell_angle_beta 90.00
_cell_angle_gamma 90.00
loop_
_atom_site_label
_atom_site_type_symbol
_atom_site_fract_x
_atom_site_fract_y
_atom_site_fract_z
_atom_site_occupancy
Ca1 Ca 0.000 0.000 0.000 1
Cr1 Cr 0.000 0.500 0.000 1
W1 W 0.250 0.250 0.500 1

(17)
# GdLuPd2 | Alexandria via LeMat-Bulk | PBE | optimized geometry
# - formation enthalpy at 0 K (eV/atom) = -0.8885
# - ΔE to the lowest computed polymorph (eV/atom) = 0.002
data_GdLuPd2
_chemical_formula_sum 'Gd1 Lu1 Pd2'
_symmetry_space_group_name_H-M 'P 4/m m m'
_symmetry_Int_Tables_number 123
_symmetry_space_group_name_Hall '-P 4 2'
_cell_length_a 4.978
_cell_length_b 4.978
_cell_length_c 3.430
_cell_angle_alpha 90.00
_cell_angle_beta 90.00
_cell_angle_gamma 90.00
loop_
_atom_site_label
_atom_site_type_symbol
_atom_site_fract_x
_atom_site_fract_y
_atom_site_fract_z
_atom_site_occupancy
Gd1 Gd 0.000 0.000 0.000 1
Lu1 Lu 0.500 0.500 0.000 1
Pd1 Pd 0.000 0.500 0.500 1

(18)
# Mg2Sc2Hg | Alexandria via LeMat-Bulk | PBE | optimized geometry
# - formation enthalpy at 0 K (eV/atom) = -0.1093
# - ΔE to the lowest computed polymorph (eV/atom) = 0.000
data_Mg2Sc2Hg
_chemical_formula_sum 'Mg4 Sc4 Hg2'
_symmetry_space_group_name_H-M 'C m m m'
_symmetry_Int_Tables_number 65
_symmetry_space_group_name_Hall '-C 2 2'
_cell_length_a 4.788
_cell_length_b 14.644
_cell_length_c 3.191
_cell_angle_alpha 90.00
_cell_angle_beta 90.00
_cell_angle_gamma 90.00
loop_
_atom_site_label
_atom_site_type_symbol
_atom_site_fract_x
_atom_site_fract_y
_atom_site_fract_z
_atom_site_occupancy
Mg1 Mg 0.000 0.200 0.000 1
Sc1 Sc 0.000 0.396 0.500 1
Hg1 Hg 0.000 0.000 0.000 1

(19)
# Pu4OsAu | Alexandria via LeMat-Bulk | PBE | optimized geometry
# - formation enthalpy at 0 K (eV/atom) = -0.1172
data_Pu4OsAu
_chemical_formula_sum 'Pu16 Os4 Au4'
_symmetry_space_group_name_H-M 'C 1 2/c 1'
_symmetry_Int_Tables_number 15
_cell_length_a 8.353
_cell_length_b 12.594
_cell_length_c 5.922
_cell_angle_alpha 90.00
_cell_angle_beta 110.20
_cell_angle_gamma 90.00
loop_
_symmetry_equiv_pos_as_xyz
'x,y,z'
'-x,-y,-z'
'-x,y,-z+1/2'
'x,-y,z+1/2'
'x+1/2,y+1/2,z'
'-x+1/2,-y+1/2,-z'
'-x+1/2,y+1/2,-z+1/2'
'x+1/2,-y+1/2,z+1/2'
loop_
_atom_site_label
_atom_site_type_symbol
_atom_site_fract_x
_atom_site_fract_y
_atom_site_fract_z
_atom_site_occupancy
Pu1 Pu 0.113 0.179 0.066 1
Pu2 Pu 0.203 0.414 0.357 1
Os1 Os 0.000 0.003 0.750 1
Au1 Au 0.000 0.379 0.750 1